This record from Alexandria via LeMat-Bulk describes crystalline K2Pt at its relaxed geometry. The functional is PBE.

Output
- magnetization (μB/cell) = 0.0
- energy relative to the elements (eV/atom) = 0.000

Cell lengths 9.469, 5.440, 8.345 Å; angles 90.00, 111.97, 90.00 degrees
Space group C2/m (No. 12)
Inequivalent atoms, fractional coordinates:
K 0.130 0.000 0.391
K 0.207 0.500 0.123
Pt 0.059 0.500 0.674